Record 1
Entry from Alexandria via LeMat-Bulk: a relaxed MnTe2Os crystal (PBE-GGA).

Calculated values
Raw formation energy, eV per atom: 0.15
Mass density, g/cm3: 8.09
DOS(E_F), states/eV/cell: 2.281
Symmetry: No. 71

abc: 7.561 7.561 7.561
angles: 150.92 150.66 41.79
Sites, in units of the cell vectors:
Mn 0.000 0.000 0.000
Te 0.134 0.634 0.500
Te 0.866 0.366 0.500
Os 0.500 0.500 0.000


Record 2
Entry from Alexandria via LeMat-Bulk: a relaxed TlSi5 crystal (PBE-GGA).

Calculated values
Raw formation energy, eV per atom: 0.46
Mass density, g/cm3: 5.00
DOS(E_F), states/eV/cell: 1.272
Symmetry: No. 38

abc: 4.075 8.664 8.664
angles: 21.99 90.00 90.00
Sites, in units of the cell vectors:
Tl 0.000 0.000 0.000
Si 0.000 0.301 0.301
Si 0.000 0.677 0.677
Si 0.500 0.154 0.154
Si 0.500 0.385 0.385
Si 0.500 0.773 0.773


Record 3
Entry from Alexandria via LeMat-Bulk: a relaxed Hf2AgRu crystal (PBE-GGA).

Calculated values
Uncorrected energy, eV/cell: -33.453
Mass density, g/cm3: 12.70
DOS(E_F), states/eV/cell: 3.467
Symmetry: No. 123

abc: 3.232 3.232 7.080
angles: 90.00 90.00 90.00
Sites, in units of the cell vectors:
Hf 0.000 0.000 0.230
Hf 0.000 0.000 0.770
Ag 0.500 0.500 0.500
Ru 0.500 0.500 0.000